Arrangement w

This record from Alexandria describes an optimized crystal structure of CaCd2Pt2. The functional is PBE.

The structure in extended XYZ format:
```
10
Lattice="-3.323 -2.406 -0.631 0.019 -1.078 4.008 -5.950 11.540 0.982" Properties=species:S:1:pos:R:3 pbc="T T T"
Ca -5.785 7.457 2.033
Ca -3.468 0.599 2.327
Pt -5.462 3.696 1.020
Pt -8.117 6.593 3.961
Pt -1.136 1.464 0.399
Pt -3.791 4.360 3.340
Cd -2.730 3.519 0.959
Cd -1.662 -1.203 -0.315
Cd -6.523 4.538 3.401
Cd 0.010 -0.539 2.004
```

Results
crystal system: tetragonal

---

Arrangement x

This record from Alexandria describes an optimized crystal structure of CaCd2Pt2. The functional is PBE.

The structure in extended XYZ format:
```
10
Lattice="8.076 0.000 0.000 0.000 8.076 0.000 0.000 0.000 3.064" Properties=species:S:1:pos:R:3 pbc="T T T"
Cd 3.038 7.076 0.000
Cd 5.038 1.000 0.000
Cd 7.076 5.038 0.000
Cd 1.000 3.038 0.000
Pt 1.415 5.454 1.532
Pt 2.623 1.415 1.532
Pt 6.661 2.623 1.532
Pt 5.454 6.661 1.532
Ca 4.038 4.038 0.000
Ca 0.000 0.000 0.000
```

Results
crystal system: tetragonal

---

arrangement x has the most favorable energy; the next structure is 26 meV/atom above.

---

Arrangement w

This record from Alexandria describes an optimized crystal structure of CaCd2Pt2. The functional is PBE.

The structure in extended XYZ format:
```
5
Lattice="-3.740 -0.337 -2.057 2.045 -1.412 -3.487 -1.414 -6.517 -0.819" Properties=species:S:1:pos:R:3 pbc="T T T"
Pt -3.001 -3.864 -2.824
Pt -0.109 -4.401 -3.539
Ca 0.000 0.000 0.000
Cd -0.975 -2.144 -2.332
Cd -2.134 -6.121 -4.030
```

Results
crystal system: tetragonal

---

Arrangement x

This record from Alexandria describes an optimized crystal structure of CaCd2Pt2. The functional is PBE.

The structure in extended XYZ format:
```
10
Lattice="7.580 0.000 0.000 0.000 7.580 0.000 0.000 0.000 3.576" Properties=species:S:1:pos:R:3 pbc="T T T"
Cd 2.570 1.220 1.788
Cd 1.220 5.010 1.788
Cd 6.360 2.570 1.788
Cd 5.010 6.360 1.788
Pt 2.773 6.563 0.000
Pt 6.563 4.807 0.000
Pt 4.807 1.017 0.000
Pt 1.017 2.773 0.000
Ca 3.790 3.790 0.000
Ca 0.000 0.000 0.000
```

Results
crystal system: tetragonal

---

arrangement x has the most favorable energy; the next structure is 149 meV/atom above.

---

Arrangement w

This record from Alexandria describes an optimized crystal structure of CaCd3Pt. The functional is PBE.

The structure in extended XYZ format:
```
10
Lattice="4.188 0.000 0.000 0.000 6.869 1.838 -0.001 0.117 8.290" Properties=species:S:1:pos:R:3 pbc="T T T"
Pt 1.596 5.773 6.923
Pt 3.690 5.825 2.837
Cd 1.595 0.125 2.586
Cd 3.690 4.754 8.581
Cd 1.595 6.960 9.468
Cd 3.690 4.605 5.336
Cd 1.595 2.965 6.968
Cd 3.688 1.764 0.951
Ca 3.691 0.982 5.087
Ca 1.597 3.746 2.837
```

Results
crystal system: monoclinic

---

Arrangement x

This record from Alexandria describes an optimized crystal structure of CaCd3Pt. The functional is PBE.

The structure in extended XYZ format:
```
5
Lattice="5.211 0.000 0.000 0.000 5.211 0.000 0.000 0.000 5.211" Properties=species:S:1:pos:R:3 pbc="T T T"
Cd 0.000 0.000 2.606
Cd 0.000 2.606 0.000
Cd 2.606 0.000 0.000
Pt 0.000 0.000 0.000
Ca 2.606 2.606 2.606
```

Results
crystal system: cubic

---

Arrangement y

This record from Alexandria describes an optimized crystal structure of CaCd3Pt. The functional is PBE.

The structure in extended XYZ format:
```
5
Lattice="5.674 0.000 0.000 0.000 5.674 0.000 0.000 0.000 5.674" Properties=species:S:1:pos:R:3 pbc="T T T"
Cd 0.000 0.000 2.837
Cd 0.000 2.837 0.000
Cd 2.837 0.000 0.000
Ca 0.000 0.000 0.000
Pt 2.837 2.837 2.837
```

Results
crystal system: cubic

---

arrangement w has the most favorable energy; the next structure is 209 meV/atom above.